Density functional theory data (PBE) for an optimized crystal structure of BaSrAl2.

Lattice parameters (Å, degrees): 6.1925 6.1925 6.1925 131.92 131.92 70.36
Last column: nearest neighbours and their distance in Å.
Fractional positions:
Ba 0.0000 0.0000 0.0000  8 Al 3.57, 4 Sr 3.57
Sr 0.2500 0.7500 0.5000  8 Al 3.57, 4 Ba 3.57
Al 0.5000 0.5000 0.0000  4 Ba 3.57, 4 Al 3.57, 4 Sr 3.57
Al 0.7500 0.2500 0.5000  4 Sr 3.57, 4 Ba 3.57, 4 Al 3.57

Calculated values
Crystal system = tetragonal
Formation energy = 114.6 meV per atom
Total magnetic moment = 0.000 μB per cell
Energy relative to the lowest polymorph listed for this composition = 308 meV/atom

***

Density functional theory data (PBE) for an optimized crystal structure of DyPu2Ru.

Lattice parameters (Å, degrees): 10.6420 10.6420 10.6420 18.10 18.10 18.10
Last column: nearest neighbours and their distance in Å.
Fractional positions:
Dy 0.0000 0.0000 0.0000  2 Pu 3.19, 6 Dy 3.35
Pu 0.1017 0.1017 0.1017  3 Ru 2.81
Pu 0.8983 0.8983 0.8983  3 Ru 2.81
Ru 0.5000 0.5000 0.5000  6 Pu 2.81

Calculated values
Crystal system = trigonal
Formation energy = 261.6 meV per atom
Total magnetic moment = 11.196 μB per cell
Energy relative to the lowest polymorph listed for this composition = 253 meV/atom

***

Density functional theory data (PBE) for an optimized crystal structure of Er4Tl2Ir.

Lattice parameters (Å, degrees): 6.5107 3.7541 8.8678 90.00 109.58 90.00
Last column: nearest neighbours and their distance in Å.
Fractional positions:
Er 0.1184 0.0000 0.2604  1 Ir 2.67
Er 0.3430 0.5000 0.6549  2 Ir 2.72
Er 0.6570 0.5000 0.3451  2 Ir 2.72
Er 0.8816 0.0000 0.7396  1 Ir 2.67
Tl 0.2569 0.5000 0.9976  2 Tl 3.15-3.36, 6 Er 3.27-3.34
Tl 0.7431 0.5000 0.0024  2 Tl 3.15-3.36, 6 Er 3.27-3.34
Ir 0.5000 0.0000 0.5000  6 Er 2.67-2.72

Calculated values
Crystal system = monoclinic
Formation energy = -370.1 meV per atom
Total magnetic moment = 0.000 μB per cell

***

Density functional theory data (PBE) for an optimized crystal structure of LiLaCuPd2.

Lattice parameters (Å, degrees): 6.6672 6.6672 6.6672 145.30 145.30 49.89
Last column: nearest neighbours and their distance in Å.
Fractional positions:
Li 0.0000 0.0000 0.0000  4 Pd 2.59, 4 Cu 2.81
La 0.2500 0.7500 0.5000  8 Pd 3.12
Cu 0.5000 0.5000 0.0000  4 Pd 2.59, 4 Li 2.81
Pd 0.6377 0.1377 0.5000  2 Li 2.59, 2 Cu 2.59, 1 Pd 2.72
Pd 0.8623 0.3623 0.5000  2 Li 2.59, 2 Cu 2.59, 1 Pd 2.72

Calculated values
Crystal system = tetragonal
Formation energy = -506.3 meV per atom
Total magnetic moment = 0.000 μB per cell
Energy relative to the lowest polymorph listed for this composition = 0 meV/atom

***

no.,VASP energy (hartree per atom)
1,-0.098
2,-0.381
3,-0.181
4,-0.175